No. 1
This record from Alexandria describes an optimized crystal structure of Cs3K5Rb12. The functional is PBE.

Unit cell a=22.840 b=22.840 c=22.840 alpha=109.47 beta=109.47 gamma=109.47
Fractional positions:
Cs1 0.750 0.375 0.125
Cs2 0.875 0.750 0.125
Cs3 0.375 0.750 0.625
Cs4 0.250 0.125 0.375
Cs5 0.875 0.125 0.250
Cs6 0.375 0.625 0.250
Cs7 0.625 0.375 0.750
Cs8 0.125 0.875 0.750
Cs9 0.750 0.875 0.625
Cs10 0.625 0.250 0.375
Cs11 0.125 0.250 0.875
Cs12 0.250 0.625 0.875
K1 0.125 0.375 0.250
K2 0.000 0.500 0.000
K3 0.000 0.000 0.000
K4 0.375 0.250 0.125
K5 0.500 0.000 0.500
K6 0.500 0.500 0.000
K7 0.125 0.750 0.375
K8 0.750 0.125 0.875
K9 0.750 0.625 0.375
K10 0.375 0.125 0.750
K11 0.625 0.875 0.250
K12 0.500 0.500 0.500
K13 0.500 0.000 0.000
K14 0.000 0.000 0.500
K15 0.250 0.375 0.625
K16 0.250 0.875 0.125
K17 0.000 0.500 0.500
K18 0.875 0.250 0.625
K19 0.625 0.750 0.875
K20 0.875 0.625 0.750
Rb1 0.723 0.128 0.056
Rb2 0.333 0.556 0.428
Rb3 0.944 0.372 0.277
Rb4 0.556 0.223 0.128
Rb5 0.595 0.723 0.667
Rb6 0.944 0.572 0.167
Rb7 0.333 0.777 0.405
Rb8 0.072 0.905 0.128
Rb9 0.572 0.944 0.667
Rb10 0.723 0.595 0.167
Rb11 0.777 0.444 0.372
Rb12 0.833 0.928 0.056
Rb13 0.128 0.723 0.556
Rb14 0.372 0.428 0.095
Rb15 0.095 0.928 0.372
Rb16 0.405 0.128 0.572
Rb17 0.095 0.167 0.223
Rb18 0.444 0.667 0.072
Rb19 0.833 0.905 0.277
Rb20 0.128 0.405 0.072
Rb21 0.372 0.944 0.777
Rb22 0.572 0.628 0.405
Rb23 0.928 0.833 0.556
Rb24 0.777 0.333 0.905
Rb25 0.428 0.372 0.595
Rb26 0.072 0.167 0.444
Rb27 0.223 0.667 0.095
Rb28 0.167 0.095 0.723
Rb29 0.628 0.056 0.223
Rb30 0.872 0.595 0.928
Rb31 0.556 0.333 0.928
Rb32 0.595 0.872 0.428
Rb33 0.905 0.833 0.777
Rb34 0.905 0.072 0.628
Rb35 0.872 0.277 0.444
Rb36 0.167 0.072 0.944
Rb37 0.628 0.572 0.905
Rb38 0.428 0.056 0.333
Rb39 0.277 0.405 0.833
Rb40 0.223 0.556 0.628
Rb41 0.928 0.095 0.872
Rb42 0.667 0.223 0.595
Rb43 0.444 0.777 0.872
Rb44 0.056 0.428 0.833
Rb45 0.405 0.277 0.333
Rb46 0.056 0.628 0.723
Rb47 0.667 0.444 0.572
Rb48 0.277 0.872 0.944

Computed properties:
SG: Ia-3d (230)
Total magnetic moment (μB per cell): 0.0
Fermi-level density of states (states/eV per cell): 69.6
Formation enthalpy at 0 K (eV per atom): 0.17



No. 2
This record from Alexandria describes an optimized crystal structure of ScCoBi2Rh. The functional is PBE.

Unit cell a=5.293 b=4.775 c=5.293 alpha=90.00 beta=90.00 gamma=90.00
Each line ends with the local moment (μB).
Fractional positions:
Sc1 0.000 0.500 0.000  -0.05
Co1 0.500 0.500 0.500  1.94
Rh1 0.000 0.000 0.000  -0.02
Bi1 0.000 0.000 0.500  -0.03
Bi2 0.500 0.000 0.000  -0.07

Computed properties:
SG: P4/mmm (123)
Total magnetic moment (μB per cell): 1.7
Fermi-level density of states (states/eV per cell): 8.2
Formation enthalpy at 0 K (eV per atom): 0.56



No. 3
This record from Alexandria describes an optimized crystal structure of FeIr2Cl. The functional is PBE.

Unit cell a=5.980 b=5.980 c=5.901 alpha=59.56 beta=59.56 gamma=90.00
Fractional positions:
Ir1 0.652 0.125 0.250
Ir2 0.098 0.625 0.250
Ir3 0.375 0.348 0.750
Ir4 0.875 0.902 0.750
Fe1 0.000 0.000 0.000
Fe2 0.750 0.250 0.500
Cl1 0.500 0.500 0.000
Cl2 0.250 0.750 0.500

Computed properties:
SG: I-42d (122)
Total magnetic moment (μB per cell): 0.0
Fermi-level density of states (states/eV per cell): 3.5
Formation energy (no corrections) (eV per atom): 1.11



No. 4
This record from Alexandria describes an optimized crystal structure of Dy2HoTl3Se6. The functional is PBE.

Unit cell a=7.240 b=7.240 c=8.141 alpha=98.52 beta=98.52 gamma=120.00
Fractional positions:
Dy1 0.333 0.667 0.000
Dy2 0.667 0.333 0.000
Ho1 0.000 0.000 0.000
Tl1 0.167 0.833 0.500
Tl2 0.833 0.167 0.500
Tl3 0.500 0.500 0.500
Se1 0.932 0.600 0.796
Se2 0.736 0.736 0.204
Se3 0.068 0.400 0.204
Se4 0.600 0.932 0.796
Se5 0.264 0.264 0.796
Se6 0.400 0.068 0.204

Computed properties:
SG: C2/m (12)
Total magnetic moment (μB per cell): 0.0
Formation energy (no corrections) (eV per atom): -1.39



No. 5
This record from Alexandria describes an optimized crystal structure of Na3ScC. The functional is PBE.

Unit cell a=6.032 b=6.032 c=6.032 alpha=90.00 beta=90.00 gamma=90.00
Each line ends with the local moment (μB).
Fractional positions:
Sc1 0.000 0.000 0.000  1.01
Na1 0.000 0.500 0.000  0.03
Na2 0.000 0.000 0.500  0.03
Na3 0.500 0.000 0.000  0.02
C1 0.500 0.500 0.500  0.00

Computed properties:
SG: Pm-3m (221)
Total magnetic moment (μB per cell): 1.7
Fermi-level density of states (states/eV per cell): 12.5
Formation enthalpy at 0 K (eV per atom): 2.27



No. 6
This record from Alexandria describes an optimized crystal structure of ZrMoSe2. The functional is PBE.

Unit cell a=4.611 b=4.611 c=3.279 alpha=89.99 beta=89.99 gamma=89.99
Each line ends with the local moment (μB).
Fractional positions:
Mo1 0.000 0.500 0.500  0.79
Se1 0.000 0.000 0.000  -0.01
Se2 0.500 0.500 0.000  -0.01
Zr1 0.500 0.000 0.500  0.01

Computed properties:
SG: P4/mmm (123)
Total magnetic moment (μB per cell): 0.9
Fermi-level density of states (states/eV per cell): 3.5
Formation energy (no corrections) (eV per atom): -0.48



No. 7
This record from Alexandria describes an optimized crystal structure of NbTl3Hg. The functional is PBE.

Unit cell a=5.591 b=5.591 c=5.591 alpha=90.00 beta=90.00 gamma=90.00
Each line ends with the local moment (μB).
Fractional positions:
Tl1 0.000 0.500 0.000  0.01
Tl2 0.000 0.000 0.500  0.01
Tl3 0.500 0.000 0.000  0.01
Hg1 0.500 0.500 0.500  0.01
Nb1 0.000 0.000 0.000  0.56

Computed properties:
SG: Pm-3m (221)
Total magnetic moment (μB per cell): 0.8
Fermi-level density of states (states/eV per cell): 4.7
Formation enthalpy at 0 K (eV per atom): 0.57



No. 8
This record from Alexandria describes an optimized crystal structure of Zr2CdH. The functional is PBE.

Unit cell a=6.557 b=6.557 c=5.721 alpha=55.04 beta=55.04 gamma=90.00
Each line ends with the local moment (μB).
Fractional positions:
H1 0.500 0.500 0.000  0.00
H2 0.250 0.750 0.500  0.00
Zr1 0.528 0.125 0.250  0.22
Zr2 0.222 0.625 0.250  0.21
Zr3 0.375 0.472 0.750  0.24
Zr4 0.875 0.778 0.750  0.18
Cd1 0.000 0.000 0.000  0.01
Cd2 0.750 0.250 0.500  0.01

Computed properties:
SG: I-42d (122)
Total magnetic moment (μB per cell): 1.3
Fermi-level density of states (states/eV per cell): 9.7
Final energy (eV per atom): -5.38



No. 9
This record from Alexandria describes an optimized crystal structure of Pr4Pd. The functional is PBE.

Unit cell a=5.710 b=5.710 c=5.710 alpha=90.00 beta=90.00 gamma=90.00
Fractional positions:
Pr1 0.000 0.000 0.000
Pr2 0.500 0.000 0.500
Pr3 0.000 0.500 0.500
Pr4 0.500 0.500 0.000
Pd1 0.500 0.500 0.500

Computed properties:
SG: Pm-3m (221)
Total magnetic moment (μB per cell): 0.0
Fermi-level density of states (states/eV per cell): 11.6
Formation enthalpy at 0 K (eV per atom): -0.07



No. 10
This record from Alexandria describes an optimized crystal structure of BaSr2In2. The functional is PBE.

Unit cell a=5.868 b=5.868 c=7.044 alpha=89.65 beta=89.65 gamma=60.64
Fractional positions:
Ba1 0.500 0.000 0.000
Sr1 0.832 0.332 0.660
Sr2 0.168 0.668 0.340
In1 0.836 0.336 0.155
In2 0.164 0.664 0.845

Computed properties:
SG: C2/m (12)
Total magnetic moment (μB per cell): 0.0
Fermi-level density of states (states/eV per cell): 4.1
Formation enthalpy at 0 K (eV per atom): -0.29



No. 11
This record from Alexandria describes an optimized crystal structure of CsCa2TlF. The functional is PBE.

Unit cell a=6.223 b=5.804 c=6.223 alpha=90.00 beta=90.00 gamma=90.00
Fractional positions:
Cs1 0.500 0.500 0.500
Tl1 0.000 0.000 0.000
Ca1 0.000 0.000 0.500
Ca2 0.500 0.000 0.000
F1 0.000 0.500 0.000

Computed properties:
SG: P4/mmm (123)
Total magnetic moment (μB per cell): 0.0
Fermi-level density of states (states/eV per cell): 7.3
Formation energy (no corrections) (eV per atom): -0.39



No. 12
This record from Alexandria describes an optimized crystal structure of Tl2BiAs2. The functional is PBE.

Unit cell a=3.701 b=3.701 c=11.005 alpha=80.32 beta=80.32 gamma=90.00
Fractional positions:
As1 0.750 0.250 0.500
As2 0.250 0.750 0.500
Tl1 0.385 0.385 0.231
Tl2 0.615 0.615 0.769
Bi1 0.000 0.000 0.000

Computed properties:
SG: I4/mmm (139)
Total magnetic moment (μB per cell): 0.0
Fermi-level density of states (states/eV per cell): 2.5
Formation enthalpy at 0 K (eV per atom): 0.11